[1]
A plane-wave DFT calculation with GGA-PBE was carried out for a relaxed HoNi3Ir crystal.

abc: 8.4557 8.4557 4.3034
angles: 90.00 90.00 148.38
Closest atoms and distances in Å follow each position.
Fractional positions:
1 Ho 0.0859 0.9141 0.7500  2 Ni 2.54
2 Ho 0.9141 0.0859 0.2500  2 Ni 2.54
3 Ni 0.0383 0.4852 0.2500  4 Ni 2.20-2.41
4 Ni 0.4852 0.0383 0.7500  4 Ni 2.20-2.41
5 Ni 0.5000 0.5000 0.0000  2 Ni 2.15
6 Ni 0.5000 0.5000 0.5000  2 Ni 2.15
7 Ni 0.5148 0.9617 0.2500  4 Ni 2.20-2.41
8 Ni 0.9617 0.5148 0.7500  4 Ni 2.20-2.41
9 Ir 0.3593 0.6407 0.7500  8 Ni 2.52-2.77
10 Ir 0.6407 0.3593 0.2500  8 Ni 2.52-2.77

## Properties
crystal system	orthorhombic
space group	Cmcm
total DFT energy (no corrections)	-6.10	eV per atom
mass density	11.0	g/cm³

[2]
A plane-wave DFT calculation with GGA-PBE was carried out for a relaxed Ho2Ni12P3Ir crystal.

abc: 7.0867 7.0867 7.0867
angles: 64.68 64.68 64.68
Closest atoms and distances in Å follow each position.
Fractional positions:
1 Ho 0.1062 0.1062 0.1062  6 Ni 2.70-2.73
2 Ho 0.8938 0.8938 0.8938  6 Ni 2.70-2.73
3 Ni 0.1143 0.6325 0.6325  1 P 2.12, 1 Ir 2.37
4 Ni 0.1542 0.1542 0.6029  2 P 2.14
5 Ni 0.1542 0.6029 0.1542  2 P 2.14
6 Ni 0.3675 0.3675 0.8857  1 P 2.12, 1 Ir 2.37
7 Ni 0.3675 0.8857 0.3675  1 P 2.12, 1 Ir 2.37
8 Ni 0.3971 0.8458 0.8458  2 P 2.14
9 Ni 0.6029 0.1542 0.1542  2 P 2.14
10 Ni 0.6325 0.1143 0.6325  1 P 2.12, 1 Ir 2.37
11 Ni 0.6325 0.6325 0.1143  1 P 2.12, 1 Ir 2.37
12 Ni 0.8458 0.3971 0.8458  2 P 2.14
13 Ni 0.8458 0.8458 0.3971  2 P 2.14
14 Ni 0.8857 0.3675 0.3675  1 P 2.12, 1 Ir 2.37
15 P 0.0000 0.5000 0.5000  6 Ni 2.12-2.14
16 P 0.5000 0.0000 0.5000  6 Ni 2.12-2.14
17 P 0.5000 0.5000 0.0000  6 Ni 2.12-2.14
18 Ir 0.5000 0.5000 0.5000  6 Ni 2.37

## Properties
crystal system	trigonal
space group	R-3m
total DFT energy (no corrections)	-5.73	eV per atom
mass density	7.9	g/cm³

[3]
A plane-wave DFT calculation with GGA-PBE was carried out for a relaxed Ho2Ni3P4Ir crystal.

abc: 4.0089 4.0089 9.1933
angles: 90.00 90.00 90.00
Closest atoms and distances in Å follow each position.
Fractional positions:
1 Ho 0.0000 0.5000 0.2401  8 P 2.98-3.04, 7 Ni 3.05-3.28, 2 Ir 3.12
2 Ho 0.5000 0.0000 0.7599  8 P 2.98-3.04, 7 Ni 3.05-3.28, 2 Ir 3.12
3 Ni 0.0000 0.5000 0.8835  5 P 2.25-2.27
4 Ni 0.5000 0.0000 0.1165  5 P 2.25-2.27
5 Ni 0.5000 0.5000 0.5000  4 P 2.38
6 P 0.0000 0.0000 0.0000  4 Ni 2.27
7 P 0.0000 0.5000 0.6392  3 Ni 2.25-2.38, 2 Ir 2.38
8 P 0.5000 0.0000 0.3608  3 Ni 2.25-2.38, 2 Ir 2.38
9 P 0.5000 0.5000 0.0000  4 Ni 2.27
10 Ir 0.0000 0.0000 0.5000  4 P 2.38

## Properties
crystal system	tetragonal
space group	P-4m2
total DFT energy (no corrections)	-6.66	eV per atom
mass density	9.2	g/cm³

[4]
A plane-wave DFT calculation with GGA-PBE was carried out for a relaxed Ho2Ni4P3Ir crystal.

abc: 3.8275 3.8275 9.9365
angles: 90.00 90.00 90.00
Closest atoms and distances in Å follow each position.
Fractional positions:
1 Ho 0.0000 0.5000 0.2445  8 Ni 2.89-3.09, 6 P 2.95-3.18, 2 Ir 3.18
2 Ho 0.5000 0.0000 0.7555  8 Ni 2.89-3.09, 6 P 2.95-3.18, 2 Ir 3.18
3 Ni 0.0000 0.0000 0.0000  4 P 2.29
4 Ni 0.0000 0.5000 0.6541  1 P 2.18
5 Ni 0.5000 0.0000 0.3459  1 P 2.18
6 Ni 0.5000 0.5000 0.0000  4 P 2.29
7 P 0.0000 0.5000 0.8733  5 Ni 2.18-2.29
8 P 0.5000 0.0000 0.1267  5 Ni 2.18-2.29
9 P 0.5000 0.5000 0.5000  4 Ni 2.45, 4 Ir 2.71
10 Ir 0.0000 0.0000 0.5000  4 Ni 2.45, 4 P 2.71

## Properties
crystal system	tetragonal
space group	P-4m2
total DFT energy (no corrections)	-6.55	eV per atom
mass density	9.7	g/cm³

[5]
A plane-wave DFT calculation with GGA-PBE was carried out for a relaxed Ho2NiP4Ir3 crystal.

abc: 4.1277 4.1277 9.3848
angles: 90.00 90.00 90.00
Closest atoms and distances in Å follow each position.
Fractional positions:
1 Ho 0.0000 0.5000 0.2473  8 P 3.11-3.13, 7 Ir 3.14-3.42, 2 Ni 3.14
2 Ho 0.5000 0.0000 0.7527  8 P 3.11-3.13, 2 Ni 3.14, 7 Ir 3.14-3.42
3 Ni 0.0000 0.0000 0.5000  4 P 2.41
4 P 0.0000 0.0000 0.0000  4 Ir 2.34
5 P 0.0000 0.5000 0.6331  3 Ir 2.34-2.41, 2 Ni 2.41
6 P 0.5000 0.0000 0.3669  3 Ir 2.34-2.41, 2 Ni 2.41
7 P 0.5000 0.5000 0.0000  4 Ir 2.34
8 Ir 0.0000 0.5000 0.8829  5 P 2.34
9 Ir 0.5000 0.0000 0.1171  5 P 2.34
10 Ir 0.5000 0.5000 0.5000  4 P 2.41

## Properties
crystal system	tetragonal
space group	P-4m2
total DFT energy (no corrections)	-7.26	eV per atom
mass density	11.3	g/cm³

[6]
A plane-wave DFT calculation with GGA-PBE was carried out for a relaxed PmHoNiIr crystal.

abc: 4.0984 5.7187 5.7187
angles: 40.00 90.00 90.00
Closest atoms and distances in Å follow each position.
Fractional positions:
1 Pm 0.0000 0.0000 0.0000  4 Ni 2.94, 3 Ir 2.99-3.08
2 Ho 0.5000 0.7162 0.7162  4 Ir 2.91, 3 Ni 3.00-3.10
3 Ni 0.5000 0.4282 0.4282  2 Ir 2.61
4 Ir 0.0000 0.2781 0.2781  2 Ni 2.61, 4 Ho 2.91

## Properties
crystal system	orthorhombic
space group	Amm2
relative energy among the computed polymorphs	0.0000	eV/atom
mass density	10.8	g/cm³

[7]
A plane-wave DFT calculation with GGA-PBE was carried out for a relaxed PmHoNiIr crystal.

abc: 4.8781 4.8781 4.8781
angles: 60.00 60.00 60.00
Closest atoms and distances in Å follow each position.
Fractional positions:
1 Pm 0.0000 0.0000 0.0000  4 Ni 2.99, 4 Ir 2.99
2 Ho 0.5000 0.5000 0.5000  4 Ir 2.99, 4 Ni 2.99
3 Ni 0.2500 0.2500 0.2500  4 Ho 2.99, 4 Pm 2.99
4 Ir 0.7500 0.7500 0.7500  4 Pm 2.99, 4 Ho 2.99

## Properties
crystal system	cubic
space group	F-43m
relative energy among the computed polymorphs	0.0458	eV/atom
mass density	11.3	g/cm³

[8]
A plane-wave DFT calculation with GGA-PBE was carried out for a relaxed HoScNiIr crystal.

abc: 4.6729 4.6729 4.6729
angles: 60.00 60.00 60.00
Closest atoms and distances in Å follow each position.
Fractional positions:
1 Ho 0.0000 0.0000 0.0000  4 Ir 2.86, 4 Ni 2.86
2 Sc 0.5000 0.5000 0.5000  4 Ir 2.86, 4 Ni 2.86
3 Ni 0.2500 0.2500 0.2500  4 Ho 2.86, 4 Sc 2.86
4 Ir 0.7500 0.7500 0.7500  4 Ho 2.86, 4 Sc 2.86

## Properties
crystal system	cubic
space group	F-43m
total DFT energy (no corrections)	-7.09	eV per atom
mass density	10.6	g/cm³